No. 1
# PuTl2F6

PuTl2F6 after structural relaxation (GGA-PBE, Alexandria via LeMat-Bulk).

Properties
For the formation energy (no corrections), the calculation gives -2.781 eV/atom. As for the symmetry: No. 136.

Lattice parameters (Å, degrees): 5.8876 5.8876 12.2938 90.00 90.00 90.00
Site moments in Bohr magnetons follow the coordinates.
Fractional coordinates of all 18 atoms:
Pu 0.5000 0.5000 0.0000  4.13
Pu 0.0000 0.0000 0.5000  4.13
Tl 0.5000 0.5000 0.3368  0.00
Tl 0.5000 0.5000 0.6632  0.00
Tl 0.0000 0.0000 0.1632  0.00
Tl 0.0000 0.0000 0.8368  0.00
F 0.6766 0.6766 0.1291  -0.03
F 0.6766 0.6766 0.8709  -0.03
F 0.7392 0.7392 0.5000  -0.03
F 0.7608 0.2392 0.0000  -0.03
F 0.8234 0.1766 0.3709  -0.03
F 0.8234 0.1766 0.6291  -0.03
F 0.1766 0.8234 0.3709  -0.03
F 0.1766 0.8234 0.6291  -0.03
F 0.2392 0.7608 0.0000  -0.03
F 0.2608 0.2608 0.5000  -0.03
F 0.3234 0.3234 0.1291  -0.03
F 0.3234 0.3234 0.8709  -0.03

No. 2
# Cs2BiB2Se6

Cs2BiB2Se6 after structural relaxation (GGA-PBE, Alexandria via LeMat-Bulk).

Properties
For the formation energy (no corrections), the calculation gives -0.431 eV/atom. The density of states at the Fermi level is 4.66 states/eV/cell. As for the symmetry: No. 12.

Lattice parameters (Å, degrees): 7.1322 7.1273 9.4804 111.83 90.00 120.02
Fractional coordinates of all 11 atoms:
Cs 0.7093 0.4186 0.1292
Cs 0.2907 0.5814 0.8708
Bi 0.5000 0.0000 0.5000
B 0.9046 0.8091 0.7114
B 0.0954 0.1909 0.2886
Se 0.7542 0.5083 0.7356
Se 0.2441 0.0145 0.2620
Se 0.2296 0.9855 0.7380
Se 0.7559 0.9855 0.7380
Se 0.7704 0.0145 0.2620
Se 0.2458 0.4917 0.2644